Density functional theory data (PBE) for V2Fe7ReGe2 after structural relaxation.

Lattice parameters (Å, degrees): 3.5080 3.5080 25.0256 90.00 90.00 90.00
Space group I4/mmm (No. 139)
Asymmetric unit:
V: 0.0000 0.0000 0.1700 x4
Fe: 0.0000 0.0000 0.2635 x4
Fe: 0.0000 0.0000 0.5000 x2
Fe: 0.0000 0.5000 0.0735 x8
Re: 0.0000 0.0000 0.0000 x2
Ge: 0.0000 0.0000 0.3593 x4

Summary:
- total magnetic moment (μB/atom) = 0.5963
- DOS at the Fermi energy (states/eV/f.u.) = 7.93
- formation enthalpy at 0 K (meV per atom) = 38
- E (eV/atom) = -8.2248